Computed, not measured: a geometry-optimized TcHgAsSe2 structure at the GGA-PBEsol level of DFT.

Unit cell a=4.8418 b=4.8418 c=4.8008 alpha=90.00 beta=90.00 gamma=90.00
Positions (direct):
Tc1 0.0000 0.0000 0.0000
Hg1 0.5000 0.5000 0.5000
As1 0.0000 0.0000 0.5000
Se1 0.0000 0.5000 0.0000
Se2 0.5000 0.0000 0.0000

Properties
total magnetization	0.00	μB per formula unit
ΔE_f (raw)	0.36	eV per atom
uncorrected energy	-22.84	eV for the cell shown
space group	P4/mmm (123)

=====

Computed, not measured: a geometry-optimized Mg2ZrW structure at the GGA-PBEsol level of DFT.

Unit cell a=5.8170 b=5.8170 c=5.8170 alpha=147.34 beta=133.71 gamma=57.80
Positions (direct):
Mg1 0.2347 0.2347 0.0000
Mg2 0.7653 0.7653 0.0000
Zr1 0.5000 0.0000 0.5000
W1 0.0000 0.5000 0.5000

Properties
total magnetization	0.00	μB per formula unit
energy of formation	0.343	eV per atom
uncorrected energy	-24.96	eV for the cell shown
space group	Immm (71)